Record 1
A geometry-optimized TcOs2Rh structure. Source: Alexandria via LeMat-Bulk, functional GGA-PBE.

Structure (POSCAR):
```
TcOs2Rh
1.0
-1.189 2.384 -0.548
-1.369 -0.144 2.346
5.785 3.711 3.604
Os Rh Tc
2 1 1
Direct
0.500 0.500 0.247
0.000 0.000 0.003
0.000 0.000 0.500
0.500 0.500 0.751
```

## Properties
symmetry: P4mm (99)

=====

Record 2
A geometry-optimized Tc2OsRh structure. Source: Alexandria via LeMat-Bulk, functional GGA-PBE.

Structure (POSCAR):
```
Tc2OsRh
1.0
4.364 0.000 0.000
2.182 3.779 0.000
2.182 1.260 3.563
Tc Rh Os
2 1 1
Direct
0.000 0.000 0.000
0.250 0.250 0.250
0.750 0.750 0.750
0.500 0.500 0.500
```

## Properties
symmetry: F-43m (216)

=====

| no. | relative energy among the computed polymorphs (meV/atom) | E_form (kJ/mol of atoms) |
| --- | --- | --- |
| 1 | 11 | 5 |
| 2 | 545 | 40 |